[1]
Compound: RbBa3Pd
Source: Alexandria
Functional: SCAN
Structure: single point on PBEsol structure

Cell: 6.3767 6.3767 6.3767 Å, 90.00 90.00 90.00°
Sites, in units of the cell vectors:
1 Rb 0.0000 0.0000 0.0000
2 Ba 0.0000 0.5000 0.5000
3 Ba 0.5000 0.0000 0.5000
4 Ba 0.5000 0.5000 0.0000
5 Pd 0.5000 0.5000 0.5000

Computed properties:
Energy of formation from the pure elements = -1.07 eV per formula unit

***

[2]
Compound: Ba2PdRuSe
Source: Alexandria
Functional: SCAN
Structure: single point on PBEsol structure

Cell: 6.1117 6.1117 4.4378 Å, 90.00 90.00 90.00°
Sites, in units of the cell vectors:
1 Ba 0.0000 0.5000 0.0000
2 Ba 0.5000 0.0000 0.0000
3 Pd 0.0000 0.0000 0.5000
4 Ru 0.5000 0.5000 0.5000
5 Se 0.5000 0.5000 0.0000

Computed properties:
Energy = -33.52 eV/atom

***

[3]
Compound: BaSb2Pd
Source: Alexandria
Functional: SCAN
Structure: single point on PBEsol structure

Cell: 9.5482 9.5482 4.9098 Å, 90.00 90.00 150.51°
Sites, in units of the cell vectors:
1 Ba 0.1068 0.8932 0.7500
2 Ba 0.8932 0.1068 0.2500
3 Sb 0.2507 0.7493 0.2500
4 Sb 0.4573 0.5427 0.7500
5 Sb 0.5427 0.4573 0.2500
6 Sb 0.7493 0.2507 0.7500
7 Pd 0.3140 0.6860 0.7500
8 Pd 0.6860 0.3140 0.2500

Computed properties:
Energy = -37.62 eV/atom

***

[4]
Compound: BaSbTe2Pd
Source: Alexandria
Functional: SCAN
Structure: single point on PBEsol structure

Cell: 6.2131 6.2131 6.1226 Å, 90.00 90.00 90.00°
Sites, in units of the cell vectors:
1 Ba 0.0000 0.0000 0.0000
2 Sb 0.0000 0.0000 0.5000
3 Te 0.0000 0.5000 0.0000
4 Te 0.5000 0.0000 0.0000
5 Pd 0.5000 0.5000 0.5000

Computed properties:
Energy = -35.75 eV/atom

***

[5]
Compound: BaScPd3
Source: Alexandria
Functional: SCAN
Structure: single point on PBEsol structure

Cell: 4.9341 4.9341 4.9341 Å, 90.00 90.00 90.00°
Sites, in units of the cell vectors:
1 Ba 0.0000 0.0000 0.0000
2 Sc 0.5000 0.5000 0.5000
3 Pd 0.0000 0.5000 0.5000
4 Pd 0.5000 0.0000 0.5000
5 Pd 0.5000 0.5000 0.0000

Computed properties:
Energy of formation from the pure elements = -1.35 eV per formula unit

***

[6]
Compound: BaPd2Se2
Source: Alexandria
Functional: SCAN
Structure: single point on PBEsol structure

Cell: 5.8200 5.8200 5.8200 Å, 130.52 130.52 72.58°
Sites, in units of the cell vectors:
1 Ba 0.0000 0.0000 0.0000
2 Pd 0.3398 0.3398 0.0000
3 Pd 0.6602 0.6602 0.0000
4 Se 0.2500 0.7500 0.5000
5 Se 0.7500 0.2500 0.5000

Computed properties:
Energy = -29.94 eV/atom

***

| no. | size of the total moment (Bohr magnetons per cell) |
| --- | --- |
| 1 | 0.00 |
| 2 | 0.00 |
| 3 | 0.00 |
| 4 | 1.81 |
| 5 | 0.00 |
| 6 | 0.00 |